Entry 1:
ZnMo2OsPt: optimized geometry, PBE.

- SG = P4/mmm
- uncorrected energy (eV for the cell shown) = -30.9

Lattice parameters (Å, degrees): 4.761 4.503 4.761 90.00 90.00 90.00
Last column: magnetic moment on the atom in μB.
Fractional coordinates of all 5 atoms:
Mo 0.000 0.000 0.500  -0.54
Zn 0.000 0.500 0.000  0.01
Os 0.500 0.500 0.500  1.35
Mo 0.500 0.000 0.000  -0.39
Pt 0.000 0.000 0.000  -0.01

Entry 2:
Sc3AlCu: optimized geometry, PBE.

- polymorph energy (0 for the lowest one) (eV per atom) = 0.000
- SG = Cmcm

Lattice parameters (Å, degrees): 4.633 4.628 9.618 90.00 76.06 90.00
Fractional coordinates of all 10 atoms:
Cu 0.660 0.750 0.329
Sc 0.075 0.750 0.499
Sc 0.891 0.750 0.867
Sc 0.388 0.250 0.873
Cu 0.988 0.250 0.671
Sc 0.574 0.250 0.501
Al 0.482 0.750 0.684
Sc 0.758 0.250 0.133
Al 0.166 0.250 0.316
Sc 0.261 0.750 0.127

Ordered volume results: 20.42 20.02; unit A^3/atom.